Computed, not measured: crystalline La2MgCd2 at its relaxed geometry at the PBE level of DFT.

Summary:
Density of states at the Fermi level (states/eV per cell): 7.862
Crystal system: tetragonal
Formation enthalpy at 0 K (eV per formula unit): 0.47
Density (kg/m3): 5432
Spin magnetization (μB/atom): 0.00
E above lowest polymorph (kJ/mol of formula units): 164

abc: 4.7390 4.7390 14.3459
angles: 90.00 90.00 90.00
Last column: nearest neighbours and their distance in Å.
Space group I4/mmm (No. 139)
Unique sites:
La 0.0000 0.5000 0.2500 (multiplicity 4)  4 Cd 3.27, 4 La 3.35
Mg 0.0000 0.0000 0.0000 (multiplicity 2)  8 Cd 3.61
Cd 0.0000 0.0000 0.4068 (multiplicity 4)  1 Cd 2.67